VASP calculation (GGA+U) on an optimized crystal structure of LiTaCrO4.

a = 6.3895 Å, b = 6.3895 Å, c = 6.3895 Å
α = 123.87°, β = 122.80°, γ = 84.32°
With the nearest neighbours (Å) after each atom.
Sites, in units of the cell vectors:
Li 0.4055 0.1555 0.2500  4 O 2.09-2.16
Li 0.5945 0.8445 0.7500  4 O 2.09-2.16
Ta 0.0000 0.5000 0.5000  6 O 2.00-2.03
Ta 0.5000 0.5000 0.0000  6 O 2.00-2.03
Cr 0.0000 0.0000 0.5000  4 O 2.09
Cr 0.0000 0.5000 0.0000  4 O 2.09
O 0.1892 0.7108 0.4785  1 Ta 2.00, 2 Cr 2.09, 1 Li 2.09
O 0.2629 0.2924 0.5295  2 Ta 2.03, 1 Li 2.16
O 0.2629 0.7334 0.9705  2 Ta 2.03, 1 Li 2.16
O 0.2677 0.2892 0.9785  1 Ta 2.00, 2 Cr 2.09, 1 Li 2.09
O 0.7323 0.7108 0.0215  1 Ta 2.00, 2 Cr 2.09, 1 Li 2.09
O 0.7371 0.2666 0.0295  2 Ta 2.03, 1 Li 2.16
O 0.7371 0.7076 0.4705  2 Ta 2.03, 1 Li 2.16
O 0.8108 0.2892 0.5215  1 Ta 2.00, 2 Cr 2.09, 1 Li 2.09

Output
- calculated total energy (eV/atom) = -8.192
- V (Å³/cell) = 174.2